# 1
First-principles (PBE) data for an optimized crystal structure of Pm6Tl5Te, as listed in Alexandria via LeMat-Bulk.

Cell lengths 5.1836, 9.2867, 9.2867 Å; angles 114.52, 106.19, 106.19 degrees
Closest atoms and distances in Å follow each position.
Fractional positions:
Tl: 0.0000 0.3375 0.6625  8 Pm 3.37-3.43, 4 Tl 3.55-3.63
Pm: 0.7563 0.9198 0.5930  7 Tl 3.27-3.43, 1 Te 3.30, 2 Pm 3.64
Pm: 0.2573 0.7578 0.7578  2 Te 3.32-3.33, 6 Tl 3.37-3.53, 4 Pm 3.64
Tl: 0.5000 0.5000 0.5000  8 Pm 3.37-3.41, 4 Tl 3.63
Pm: 0.7427 0.2422 0.2422  2 Te 3.32-3.33, 6 Tl 3.37-3.53, 4 Pm 3.64
Pm: 0.2437 0.0802 0.4070  7 Tl 3.27-3.43, 1 Te 3.30, 2 Pm 3.64
Tl: 0.0000 0.6625 0.3375  8 Pm 3.37-3.43, 4 Tl 3.55-3.63
Te: 0.0000 0.0000 0.0000  8 Pm 3.30-3.33
Tl: 0.5000 0.8181 0.1819  8 Pm 3.27-3.53, 2 Tl 3.55
Pm: 0.7563 0.5930 0.9198  7 Tl 3.27-3.43, 1 Te 3.30, 2 Pm 3.64
Pm: 0.2437 0.4070 0.0802  7 Tl 3.27-3.43, 1 Te 3.30, 2 Pm 3.64
Tl: 0.5000 0.1819 0.8181  8 Pm 3.27-3.53, 2 Tl 3.55

Computed properties:
uncorrected energy: -4.11 eV/atom
E_form (uncorrected): -569 kJ/mol of formula units



# 2
First-principles (PBE) data for an optimized crystal structure of CaAgH2F8, as listed in Alexandria via LeMat-Bulk.

Cell lengths 5.1417, 4.7108, 7.0419 Å; angles 89.69, 99.57, 73.27 degrees
Closest atoms and distances in Å follow each position.
Fractional positions:
Ag: 0.0000 0.0000 0.0000  4 F 1.93-1.99
H: 0.5325 0.7275 0.3442  1 F 1.03
F: 0.2359 0.2556 0.0203  1 Ag 1.93
Ca: 0.0000 0.0000 0.5000  6 F 2.29-2.32
F: 0.7641 0.7444 0.9797  1 Ag 1.93
F: 0.2669 0.7720 0.2768  1 H 1.32
H: 0.4675 0.2725 0.6558  1 F 1.03
F: 0.2034 0.7859 0.8016  1 Ag 1.99
F: 0.7331 0.2280 0.7232  1 H 1.32
F: 0.7225 0.6941 0.4307  1 H 1.03
F: 0.2775 0.3059 0.5693  1 H 1.03
F: 0.7966 0.2141 0.1984  1 Ag 1.99

Computed properties:
uncorrected energy: -4.01 eV/atom



# 3
First-principles (PBE) data for an optimized crystal structure of LiCdSe2, as listed in Alexandria via LeMat-Bulk.

Cell lengths 5.1231, 5.1231, 5.1231 Å; angles 130.70, 98.51, 101.53 degrees
Closest atoms and distances in Å follow each position.
Fractional positions:
Se: 0.4838 0.4838 0.0000  2 Li 2.62, 2 Cd 2.75
Li: 0.2500 0.7500 0.5000  4 Se 2.62
Se: 0.0162 0.0162 0.0000  2 Li 2.62, 2 Cd 2.75
Cd: 0.7500 0.2500 0.5000  4 Se 2.75

Computed properties:
uncorrected energy: -2.90 eV/atom
E_form (uncorrected): -174 kJ/mol of formula units



# 4
First-principles (PBE) data for an optimized crystal structure of Nb2CuCS2, as listed in Alexandria via LeMat-Bulk.

Cell lengths 3.3657, 3.3657, 9.1074 Å; angles 90.00, 90.00, 120.00 degrees
Closest atoms and distances in Å follow each position.
Fractional positions:
Nb: 0.6667 0.3333 0.1191  3 C 2.24
Cu: 0.6667 0.3333 0.4502  4 S 2.20-2.32
Nb: 0.0000 0.0000 0.8708  3 C 2.26
S: 0.0000 0.0000 0.3107  3 Cu 2.32
C: 0.3333 0.6667 0.9974  6 Nb 2.24-2.26
S: 0.6667 0.3333 0.6918  1 Cu 2.20

Computed properties:
uncorrected energy: -7.65 eV/atom
E_form (uncorrected): -403 kJ/mol of formula units



# 5
First-principles (PBE) data for an optimized crystal structure of BeFeN3, as listed in Alexandria via LeMat-Bulk.

Cell lengths 3.6078, 3.6078, 3.6078 Å; angles 90.00, 90.00, 90.00 degrees
Closest atoms and distances in Å follow each position.
Fractional positions:
N: 0.5000 0.0000 0.0000  2 Fe 1.80
N: 0.0000 0.5000 0.0000  2 Fe 1.80
Fe: 0.0000 0.0000 0.0000  6 N 1.80
Be: 0.5000 0.5000 0.5000  12 N 2.55
N: 0.0000 0.0000 0.5000  2 Fe 1.80

Computed properties:
uncorrected energy: -5.92 eV/atom
E_form (uncorrected): 728 kJ/mol of formula units



# 6
First-principles (PBE) data for an optimized crystal structure of SrMg4Br, as listed in Alexandria via LeMat-Bulk.

Cell lengths 6.3505, 6.3505, 6.3505 Å; angles 60.00, 60.00, 60.00 degrees
Closest atoms and distances in Å follow each position.
Fractional positions:
Mg: 0.3767 0.8698 0.3767  6 Mg 3.13-3.22
Mg: 0.3767 0.3767 0.8698  6 Mg 3.13-3.22
Br: 0.0000 0.0000 0.0000  12 Mg 3.73, 4 Sr 3.89
Sr: 0.7500 0.7500 0.7500  12 Mg 3.72, 4 Br 3.89
Mg: 0.3767 0.3767 0.3767  6 Mg 3.13-3.22
Mg: 0.8698 0.3767 0.3767  6 Mg 3.13-3.22

Computed properties:
uncorrected energy: -1.74 eV/atom
E_form (uncorrected): -69 kJ/mol of formula units



DOS(E_F), record by record: 9.4, 4.0, 1.3, 1.7, 4.3, 2.0 states/eV/cell
M_tot, record by record: 0.00, 1.05, 0.00, 0.00, 0.00, 0.00 μB/f.u.
Calculated volume, record by record: 348.5, 160.8, 92.6, 89.3, 47.0, 181.1 Å³/cell